1.
# PBE PuIn3, relaxed
data_PuIn3
_chemical_formula_sum 'Pu1 In3'
_cell_length_a 4.660
_cell_length_b 4.660
_cell_length_c 4.660
_cell_angle_alpha 90.00
_cell_angle_beta 90.00
_cell_angle_gamma 90.00
_symmetry_space_group_name_H-M 'P 1'
_symmetry_Int_Tables_number 1
loop_
_symmetry_equiv_pos_as_xyz
'x,y,z'
loop_
_atom_site_label
_atom_site_type_symbol
_atom_site_fract_x
_atom_site_fract_y
_atom_site_fract_z
_atom_site_occupancy
Pu1 Pu 0.000 0.000 0.000 1
In1 In 0.000 0.500 0.500 1
In2 In 0.500 0.000 0.500 1
In3 In 0.500 0.500 0.000 1
# Symmetry: Pm-3m
# Final energy in eV per atom: -5.860
# N(E_F) in states/eV/cell: 12.14
# DFT formation energy in eV per formula unit: -0.9


2.
# PBE PuIn3, relaxed
data_PuIn3
_chemical_formula_sum 'Pu2 In6'
_cell_length_a 4.668
_cell_length_b 4.668
_cell_length_c 9.575
_cell_angle_alpha 90.00
_cell_angle_beta 90.00
_cell_angle_gamma 90.00
_symmetry_space_group_name_H-M 'P 1'
_symmetry_Int_Tables_number 1
loop_
_symmetry_equiv_pos_as_xyz
'x,y,z'
loop_
_atom_site_label
_atom_site_type_symbol
_atom_site_fract_x
_atom_site_fract_y
_atom_site_fract_z
_atom_site_occupancy
Pu1 Pu 0.000 0.000 0.000 1
Pu2 Pu 0.500 0.500 0.500 1
In1 In 0.000 0.000 0.500 1
In2 In 0.000 0.500 0.250 1
In3 In 0.000 0.500 0.750 1
In4 In 0.500 0.000 0.250 1
In5 In 0.500 0.000 0.750 1
In6 In 0.500 0.500 0.000 1
# Symmetry: I4/mmm
# Final energy in eV per atom: -5.739
# N(E_F) in states/eV/cell: 28.27
# DFT formation energy in eV per formula unit: -0.4


In the order shown, the computed V values come out to 101 104 Å³/f.u..